First-principles (PBE) data for an optimized crystal structure of NaZnCoW, as listed in OQMD via LeMat-Bulk.

Cell and atoms, written as CIF:
```
data_NaZnCoW
_chemical_formula_sum 'Na4 Zn4 Co4 W4'
_symmetry_space_group_name_H-M 'F -4 3 m'
_symmetry_Int_Tables_number 216
_symmetry_space_group_name_Hall 'F -4 2 3'
_cell_length_a 6.051
_cell_length_b 6.051
_cell_length_c 6.051
_cell_angle_alpha 90.00
_cell_angle_beta 90.00
_cell_angle_gamma 90.00
loop_
_atom_site_label
_atom_site_type_symbol
_atom_site_fract_x
_atom_site_fract_y
_atom_site_fract_z
Na1 Na 0.000 0.000 0.000
Zn1 Zn 0.250 0.250 0.750
Co1 Co 0.000 0.000 0.500
W1 W 0.250 0.250 0.250
```

Output
The calculation puts the total moment at 0.00 μB per formula unit. The energy above the lowest structure with this stoichiometry comes out at 0 meV/atom. As for the uncorrected energy: -19.9 eV/f.u. The calculated density comes out at 9.93 g/cm3.